Here is a relaxed structure of K3Cr2FeF9 from Alexandria via LeMat-Bulk. Energies are from GGA+U.

## Properties
DFT total energy, Ha/atom: -0.1934
Symmetry: P-3m1, No. 164

abc: 5.944 5.944 7.286
angles: 90.00 90.00 120.00
Atoms (fractional coordinates):
K: 0.000 0.000 0.000
K: 0.333 0.667 0.661
K: 0.667 0.333 0.339
Cr: 0.333 0.667 0.165
Cr: 0.667 0.333 0.835
Fe: 0.000 0.000 0.500
F: 0.000 0.500 0.000
F: 0.166 0.332 0.332
F: 0.166 0.834 0.332
F: 0.332 0.166 0.668
F: 0.500 0.000 0.000
F: 0.500 0.500 0.000
F: 0.668 0.834 0.332
F: 0.834 0.166 0.668
F: 0.834 0.668 0.668